(1)
Material: Cr2TcP
Method: DFT, PBE
State: relaxed

Output
Spin magnetization in μB/f.u.: 0.00
ΔE_f in eV per atom: -0.267

extended XYZ file:
```
8
Lattice="3.071 0.000 0.000 -1.535 4.428 0.000 0.000 0.000 7.227" Properties=species:S:1:pos:R:3 pbc="T T T"
Tc 0.000 0.567 5.420
Tc 1.535 3.862 1.807
Cr 1.535 1.179 0.318
Cr 0.000 3.250 6.909
Cr 0.000 3.250 3.932
Cr 1.535 1.179 3.295
P 0.000 1.991 1.807
P 1.535 2.438 5.420
```

***

(2)
Material: LaRuN2
Method: DFT, PBE
State: relaxed

Output
Spin magnetization in μB/f.u.: 0.00
Energy above the most stable polymorph in this dataset in meV per atom: 540
Formation energy without anion corrections in eV/atom: 0.153

extended XYZ file:
```
4
Lattice="3.470 -0.496 2.258 -0.062 -2.382 3.421 1.969 -3.675 0.017" Properties=species:S:1:pos:R:3 pbc="T T T"
Ru 0.000 0.000 0.000
La 2.688 -3.276 2.848
N 4.033 -4.915 4.273
N 1.344 -1.638 1.424
```

***

(3)
Material: PrHo2TmS4
Method: DFT, PBE
State: relaxed

Output
Spin magnetization in μB/f.u.: 0.00
Formation energy without anion corrections in eV/atom: -1.961

extended XYZ file:
```
8
Lattice="3.879 0.000 0.000 0.000 6.791 -0.157 0.000 2.371 6.476" Properties=species:S:1:pos:R:3 pbc="T T T"
S 0.000 6.915 4.639
S 1.940 5.730 1.565
S 3.879 2.246 1.680
S 1.940 3.432 4.754
Ho 1.940 1.185 3.238
Ho 0.000 2.371 6.476
Pr 1.940 3.395 -0.079
Tm 0.000 4.581 3.160
```

***

(4)
Material: ScRe2H2
Method: DFT, PBE
State: relaxed

Output
Spin magnetization in μB/f.u.: 0.00
Energy above the most stable polymorph in this dataset in meV per atom: 106

extended XYZ file:
```
5
Lattice="3.693 0.000 0.000 0.000 3.693 0.000 1.846 1.846 4.646" Properties=species:S:1:pos:R:3 pbc="T T T"
Re 3.693 1.846 2.323
Re 1.846 3.693 2.323
Sc 0.000 0.000 0.000
H 3.693 3.693 3.222
H 1.846 1.846 1.424
```

***

(5)
Material: CsAl2HgI8
Method: DFT, PBE
State: relaxed

Output
Spin magnetization in μB/f.u.: 0.00
Formation energy without anion corrections in eV/atom: -0.726

extended XYZ file:
```
12
Lattice="7.653 0.000 0.000 -3.827 6.628 0.000 0.000 0.000 11.227" Properties=species:S:1:pos:R:3 pbc="T T T"
Hg 0.000 0.000 5.613
Cs 0.000 0.000 0.000
Al 0.000 4.419 8.539
Al 3.827 2.209 2.688
I 5.055 4.322 3.496
I 0.000 4.419 11.100
I 2.444 4.411 7.730
I 5.042 0.089 3.496
I -1.229 2.305 7.730
I 1.382 2.217 3.496
I 3.827 2.209 0.127
I -1.216 6.539 7.730
```

***

(6)
Material: Li5AgAu3
Method: DFT, PBE
State: relaxed

Output
Spin magnetization in μB/f.u.: 0.00
ΔE_f in eV per atom: -0.417

extended XYZ file:
```
18
Lattice="-0.901 4.948 2.290 1.664 -2.933 6.992 5.642 3.051 -4.372" Properties=species:S:1:pos:R:3 pbc="T T T"
Au 4.598 2.730 5.912
Au 1.955 3.753 2.661
Au 0.374 0.181 3.090
Au 1.806 2.335 -1.002
Au 4.450 1.312 2.249
Au 0.389 1.834 6.192
Li 0.924 -0.789 5.401
Li 2.734 1.722 7.357
Li 4.369 3.792 3.527
Li 2.539 1.535 4.349
Li 2.990 -0.938 3.204
Li 4.316 1.056 -0.584
Li 2.035 1.273 1.383
Li -0.161 2.803 3.881
Li 3.865 3.530 0.561
Li 3.671 3.344 -2.447
Ag -0.450 2.474 1.145
Ag 0.000 0.000 0.000
```

***

(7)
Material: TeMo3
Method: DFT, PBE
State: relaxed

Output
Spin magnetization in μB/f.u.: 0.00
Energy above the most stable polymorph in this dataset in meV per atom: 255
Formation energy without anion corrections in eV/atom: 0.558

extended XYZ file:
```
4
Lattice="5.271 -0.002 -0.007 -2.350 4.718 -0.007 -2.350 -3.794 2.805" Properties=species:S:1:pos:R:3 pbc="T T T"
Mo 0.000 0.000 0.000
Mo 1.460 2.358 -0.007
Mo 1.460 -1.898 1.399
Te -2.350 0.462 1.399
```

***

(8)
Material: HgOs2Se
Method: DFT, PBE
State: relaxed

Output
Spin magnetization in μB/f.u.: 0.00
Formation energy without anion corrections in eV/atom: 1.147

extended XYZ file:
```
4
Lattice="2.891 0.000 0.000 0.000 4.950 0.000 0.000 0.000 4.767" Properties=species:S:1:pos:R:3 pbc="T T T"
Os 0.000 0.000 0.000
Os 1.446 2.475 0.000
Se 1.446 0.000 2.383
Hg 0.000 2.475 2.383
```

***

(9)
Material: TmThMg2Hg4
Method: DFT, PBE
State: relaxed

Output
Spin magnetization in μB/f.u.: 0.00
ΔE_f in eV per atom: -0.364

extended XYZ file:
```
8
Lattice="5.082 0.000 0.000 2.541 4.401 0.000 2.541 1.467 8.524" Properties=species:S:1:pos:R:3 pbc="T T T"
Tm 5.082 2.934 4.262
Hg 5.082 2.934 1.226
Hg 7.623 4.401 3.264
Hg 5.082 2.934 7.298
Hg 2.541 1.467 5.260
Mg 7.623 4.401 6.350
Mg 2.541 1.467 2.174
Th 0.000 0.000 0.000
```

***

(10)
Material: Er2Sc2Pt3
Method: DFT, PBE
State: relaxed

Output
Spin magnetization in μB/f.u.: 0.00
ΔE_f in eV per atom: -1.116

extended XYZ file:
```
7
Lattice="4.516 0.006 -1.259 -2.427 4.008 0.000 -0.106 -0.059 8.331" Properties=species:S:1:pos:R:3 pbc="T T T"
Er 1.204 3.477 4.279
Er 0.779 0.478 2.793
Pt 1.593 0.970 5.685
Pt 0.390 2.986 1.387
Pt 0.000 0.000 0.000
Sc 2.454 1.496 0.066
Sc -0.471 2.459 7.006
```

***

(11)
Material: Pm5ThS6
Method: DFT, PBE
State: relaxed

Output
Spin magnetization in μB/f.u.: 0.00
Formation energy without anion corrections in eV/atom: -1.999

extended XYZ file:
```
12
Lattice="6.859 -0.118 -1.297 -3.716 5.767 -1.297 0.136 0.245 7.005" Properties=species:S:1:pos:R:3 pbc="T T T"
Th 0.000 0.000 0.000
S 0.703 5.401 3.311
S -0.940 2.449 1.101
S 2.396 4.305 -0.186
S 4.220 3.444 3.311
S 2.576 0.492 1.101
S 0.884 1.588 4.598
Pm 5.140 0.999 2.206
Pm 1.640 2.947 2.206
Pm -1.860 4.894 2.206
Pm 3.336 1.842 -1.297
Pm -0.193 3.806 -1.297
```

***

| no. | DFT total energy (eV per atom) |
| --- | --- |
| 1 | -9.022 |
| 2 | -7.560 |
| 3 | -6.325 |
| 4 | -7.267 |
| 5 | -2.479 |
| 6 | -2.890 |
| 7 | -8.351 |
| 8 | -5.414 |
| 9 | -2.400 |
| 10 | -6.818 |
| 11 | -6.660 |